(1)
Below is crystalline Tb2NO at its relaxed geometry, with properties calculated at the PBE-GGA level.

Lattice parameters (Å, degrees): 3.740 7.520 5.353 90.00 90.00 90.00
Space group Pmn2_1 (No. 31)
One atom of each set of equivalent atoms:
Tb 0.000 0.119 0.000
Tb 0.000 0.627 0.034
N 0.000 0.379 0.780
O 0.000 0.866 0.763

## Properties
* uncorrected formation energy: -2077.8 meV per atom
* offset from the most stable computed form: 264.0 meV per atom

(2)
Below is crystalline SrAs2Se2 at its relaxed geometry, with properties calculated at the PBE-GGA level.

Lattice parameters (Å, degrees): 8.094 8.094 3.995 90.00 90.00 90.00
Space group P4/mbm (No. 127)
One atom of each set of equivalent atoms:
Sr 0.000 0.000 0.000
As 0.130 0.370 0.000
Se 0.231 0.731 0.500

## Properties
* uncorrected formation energy: -474.8 meV per atom
* offset from the most stable computed form: 0.0 meV per atom

(3)
Below is crystalline YSc2In at its relaxed geometry, with properties calculated at the PBE-GGA level.

Lattice parameters (Å, degrees): 4.640 4.640 4.645 90.00 90.00 90.00
Space group P4/mmm (No. 123)
One atom of each set of equivalent atoms:
Y 0.000 0.000 0.000
Sc 0.000 0.500 0.500
In 0.500 0.500 0.000

## Properties
* ΔE_f: -0.270 eV/atom

(4)
Below is crystalline KTaAlCl2 at its relaxed geometry, with properties calculated at the PBE-GGA level.

Lattice parameters (Å, degrees): 5.024 5.024 7.516 90.00 90.00 90.00
Space group P4/mmm (No. 123)
One atom of each set of equivalent atoms:
K 0.000 0.000 0.000
Ta 0.500 0.500 0.000
Al 0.000 0.000 0.500
Cl 0.000 0.500 0.500

## Properties
* uncorrected formation energy: 886.9 meV per atom

(5)
Below is crystalline HgWAu2 at its relaxed geometry, with properties calculated at the PBE-GGA level.

Lattice parameters (Å, degrees): 2.817 5.122 10.357 90.00 90.00 90.00
Space group Imm2 (No. 44)
One atom of each set of equivalent atoms:
Hg 0.000 0.000 0.000
W 0.000 0.500 0.747
Au 0.000 0.000 0.478
Au 0.000 0.500 0.235

## Properties
* ΔE_f: 0.535 eV/atom

(6)
Below is crystalline Tl4InSn3Cl12 at its relaxed geometry, with properties calculated at the PBE-GGA level.

Lattice parameters (Å, degrees): 11.037 11.037 11.037 90.00 90.00 90.00
Space group Im-3m (No. 229)
One atom of each set of equivalent atoms:
Tl 0.250 0.250 0.250
In 0.000 0.000 0.000
Sn 0.000 0.000 0.500
Cl 0.000 0.000 0.248
Cl 0.000 0.250 0.500

## Properties
* uncorrected formation energy: -956.3 meV per atom

(7)
Below is crystalline LiDy3Si3 at its relaxed geometry, with properties calculated at the PBE-GGA level.

Lattice parameters (Å, degrees): 10.616 4.258 13.711 90.00 110.34 90.00
Space group C2/m (No. 12)
One atom of each set of equivalent atoms:
Li 0.244 0.000 0.406
Dy 0.033 0.500 0.379
Dy 0.105 0.500 0.924
Dy 0.245 0.500 0.221
Si 0.036 0.000 0.227
Si 0.111 0.000 0.076
Si 0.120 0.000 0.550

## Properties
* uncorrected formation energy: -692.0 meV per atom

(8)
Below is crystalline RbNa2MgZn at its relaxed geometry, with properties calculated at the PBE-GGA level.

Lattice parameters (Å, degrees): 5.959 5.959 5.296 90.00 90.00 90.00
Space group P4/mmm (No. 123)
One atom of each set of equivalent atoms:
Rb 0.000 0.000 0.000
Na 0.000 0.500 0.500
Mg 0.500 0.500 0.000
Zn 0.500 0.500 0.500

## Properties
* ΔE_f: 0.118 eV/atom

(9)
Below is crystalline GdYTh2 at its relaxed geometry, with properties calculated at the PBE-GGA level.

Lattice parameters (Å, degrees): 5.021 5.021 5.116 90.00 90.00 90.00
Space group P4/mmm (No. 123)
One atom of each set of equivalent atoms:
Gd 0.000 0.000 0.000
Y 0.500 0.500 0.000
Th 0.000 0.500 0.500

## Properties
* offset from the most stable computed form: 0.0 meV per atom
* ΔE_f: 0.056 eV/atom

(10)
Below is crystalline RbBi at its relaxed geometry, with properties calculated at the PBE-GGA level.

Lattice parameters (Å, degrees): 8.613 8.613 8.613 90.00 90.00 90.00
Space group F-43m (No. 216)
One atom of each set of equivalent atoms:
Rb 0.000 0.000 0.000
Bi 0.250 0.250 0.750

## Properties
* offset from the most stable computed form: 835.1 meV per atom
* ΔE_f: 0.481 eV/atom

(11)
Below is crystalline CeLuHg at its relaxed geometry, with properties calculated at the PBE-GGA level.

Lattice parameters (Å, degrees): 3.255 3.255 17.558 90.00 90.00 90.00
Space group I4mm (No. 107)
One atom of each set of equivalent atoms:
Ce 0.000 0.000 0.000
Lu 0.000 0.000 0.641
Hg 0.000 0.000 0.815

## Properties
* offset from the most stable computed form: 343.2 meV per atom
* ΔE_f: 0.241 eV/atom

(12)
Below is crystalline SrBi3Se at its relaxed geometry, with properties calculated at the PBE-GGA level.

Lattice parameters (Å, degrees): 6.124 6.124 6.124 90.00 90.00 90.00
Space group Pm-3m (No. 221)
One atom of each set of equivalent atoms:
Sr 0.000 0.000 0.000
Bi 0.000 0.000 0.500
Se 0.500 0.500 0.500

## Properties
* uncorrected formation energy: 912.4 meV per atom
* offset from the most stable computed form: 969.4 meV per atom

In order of appearance, magnetization = 1.83 0.00 1.30 3.56 0.46 0.00 0.00 0.00 7.18 8.00 1.57 1.40 μB/cell.